Entry 1:
A plane-wave DFT calculation with PBE-GGA was carried out for a relaxed structure of GdGeNO.

Cell lengths 4.2072, 4.2072, 7.1484 Å; angles 90.00, 90.00, 90.00 degrees
Last column: nearest neighbours and their distance in Å.
Positions (direct):
Gd (0.2500, 0.2500, 0.1353)  4 O 2.32, 1 N 2.33
Gd (0.7500, 0.7500, 0.8647)  4 O 2.32, 1 N 2.33
Ge (0.2500, 0.7500, 0.5000)  4 N 2.12
Ge (0.7500, 0.2500, 0.5000)  4 N 2.12
N (0.2500, 0.2500, 0.4606)  4 Ge 2.12, 1 Gd 2.33
N (0.7500, 0.7500, 0.5394)  4 Ge 2.12, 1 Gd 2.33
O (0.2500, 0.7500, 0.0000)  4 Gd 2.32
O (0.7500, 0.2500, 0.0000)  4 Gd 2.32

**Crystal system**: tetragonal
**ΔE to the lowest computed polymorph**: 392 meV per atom

Entry 2:
A plane-wave DFT calculation with PBE-GGA was carried out for a relaxed structure of ZnSnSO.

Cell lengths 3.4644, 3.4644, 12.8822 Å; angles 90.00, 90.00, 120.00 degrees
Last column: nearest neighbours and their distance in Å.
Positions (direct):
Zn (0.3333, 0.6667, 0.0000)  3 O 2.10
Zn (0.6667, 0.3333, 0.5000)  3 O 2.10
Sn (0.0000, 0.0000, 0.2260)  1 O 2.26
Sn (0.0000, 0.0000, 0.7260)  1 O 2.26
S (0.3333, 0.6667, 0.3639)  3 Zn 2.66, 3 Sn 2.68
S (0.6667, 0.3333, 0.8639)  3 Zn 2.66, 3 Sn 2.68
O (0.0000, 0.0000, 0.0507)  3 Zn 2.10, 1 Sn 2.26
O (0.0000, 0.0000, 0.5507)  3 Zn 2.10, 1 Sn 2.26

**Crystal system**: hexagonal
**ΔE to the lowest computed polymorph**: 358 meV per atom

Entry 3:
A plane-wave DFT calculation with PBE-GGA was carried out for a relaxed structure of LaGdFe2Si4.

Cell lengths 4.0453, 8.5323, 8.5323 Å; angles 28.26, 90.00, 90.00 degrees
Last column: nearest neighbours and their distance in Å.
Positions (direct):
La (0.0000, 0.0000, 0.0000)  10 Si 3.10-3.27, 4 Fe 3.15
Gd (0.5000, 0.7851, 0.7851)  10 Si 3.06-3.23, 4 Fe 3.14
Fe (0.0000, 0.2126, 0.2126)  5 Si 2.24-2.35
Fe (0.5000, 0.5741, 0.5741)  5 Si 2.31-2.39
Si (0.0000, 0.3477, 0.3477)  1 Fe 2.24, 2 Si 2.48
Si (0.0000, 0.6463, 0.6463)  4 Fe 2.35
Si (0.5000, 0.1454, 0.1454)  4 Fe 2.31-2.39
Si (0.5000, 0.4343, 0.4343)  1 Fe 2.31, 2 Si 2.48

**Crystal system**: orthorhombic

Entry 4:
A plane-wave DFT calculation with PBE-GGA was carried out for a relaxed structure of ScCd6.

Cell lengths 6.1720, 6.1720, 6.1720 Å; angles 60.00, 60.00, 60.00 degrees
Last column: nearest neighbours and their distance in Å.
Positions (direct):
Sc (0.0000, 0.0000, 0.0000)  12 Cd 3.09
Cd (0.0000, 0.0000, 0.5000)  8 Cd 3.09, 2 Sc 3.09
Cd (0.0000, 0.5000, 0.0000)  8 Cd 3.09, 2 Sc 3.09
Cd (0.0000, 0.5000, 0.5000)  8 Cd 3.09, 2 Sc 3.09
Cd (0.5000, 0.0000, 0.0000)  8 Cd 3.09, 2 Sc 3.09
Cd (0.5000, 0.0000, 0.5000)  8 Cd 3.09, 2 Sc 3.09
Cd (0.5000, 0.5000, 0.0000)  8 Cd 3.09, 2 Sc 3.09

**Calculated formation energy**: -0.071 eV/atom
**Crystal system**: cubic

Entry 5:
A plane-wave DFT calculation with PBE-GGA was carried out for a relaxed structure of Ba3Sb4Pd4.

Cell lengths 4.7148, 4.7159, 13.6809 Å; angles 90.00, 90.00, 90.00 degrees
Last column: nearest neighbours and their distance in Å.
Positions (direct):
Ba (0.0000, 0.0000, 0.0000)  4 Pd 3.54, 8 Sb 3.64
Ba (0.0000, 0.5000, 0.3029)  6 Sb 3.54-3.57, 8 Pd 3.58-3.66
Ba (0.0000, 0.5000, 0.6971)  6 Sb 3.54-3.57, 8 Pd 3.58-3.66
Sb (0.5000, 0.0000, 0.3889)  5 Pd 2.68-2.81
Sb (0.5000, 0.0000, 0.6111)  5 Pd 2.68-2.81
Sb (0.5000, 0.5000, 0.1074)  2 Pd 2.63, 1 Sb 2.94
Sb (0.5000, 0.5000, 0.8926)  2 Pd 2.63, 1 Sb 2.94
Pd (0.0000, 0.0000, 0.5000)  4 Sb 2.80
Pd (0.5000, 0.0000, 0.1932)  3 Sb 2.63-2.68
Pd (0.5000, 0.0000, 0.8068)  3 Sb 2.63-2.68
Pd (0.5000, 0.5000, 0.5000)  4 Sb 2.81

**Crystal system**: orthorhombic
**ΔE to the lowest computed polymorph**: 20 meV per atom

Entry 6:
A plane-wave DFT calculation with PBE-GGA was carried out for a relaxed structure of PmGa.

Cell lengths 3.5483, 3.5483, 4.7347 Å; angles 90.00, 90.00, 120.00 degrees
Last column: nearest neighbours and their distance in Å.
Positions (direct):
Pm (0.0000, 0.0000, 0.0000)  6 Ga 3.13
Ga (0.3333, 0.6667, 0.5000)  6 Pm 3.13

**Crystal system**: hexagonal

Entry 7:
A plane-wave DFT calculation with PBE-GGA was carried out for a relaxed structure of RbNdO3.

Cell lengths 6.4818, 6.4818, 6.4818 Å; angles 60.11, 60.11, 60.11 degrees
Last column: nearest neighbours and their distance in Å.
Positions (direct):
Rb (0.2500, 0.2500, 0.2500)  9 O 3.04-3.25
Rb (0.7500, 0.7500, 0.7500)  9 O 3.04-3.25
Nd (0.0000, 0.0000, 0.0000)  6 O 2.30
Nd (0.5000, 0.5000, 0.5000)  6 O 2.30
O (0.2182, 0.7500, 0.2818)  2 Nd 2.30
O (0.2500, 0.7182, 0.7818)  2 Nd 2.30
O (0.2818, 0.2182, 0.7500)  2 Nd 2.30
O (0.7182, 0.7818, 0.2500)  2 Nd 2.30
O (0.7500, 0.2818, 0.2182)  2 Nd 2.30
O (0.7818, 0.2500, 0.7182)  2 Nd 2.30

**Crystal system**: trigonal

Entry 8:
A plane-wave DFT calculation with PBE-GGA was carried out for a relaxed structure of In2GaCu.

Cell lengths 4.9150, 4.9150, 4.9150 Å; angles 60.00, 60.00, 60.00 degrees
Last column: nearest neighbours and their distance in Å.
Positions (direct):
In (0.0000, 0.0000, 0.0000)  4 In 3.01, 4 Cu 3.01
In (0.2500, 0.2500, 0.2500)  4 In 3.01, 4 Ga 3.01
Ga (0.5000, 0.5000, 0.5000)  4 In 3.01, 4 Cu 3.01
Cu (0.7500, 0.7500, 0.7500)  4 In 3.01, 4 Ga 3.01

**Crystal system**: cubic

Number 1: total energy -6.90 eV per atom. Number 2: total energy -4.17 eV per atom. Number 3: total energy -6.58 eV per atom. Number 4: total energy -1.74 eV per atom. Number 5: total energy -4.75 eV per atom. Number 6: total energy -4.17 eV per atom. Number 7: total energy -5.85 eV per atom. Number 8: total energy -2.84 eV per atom.